1.
Zn2TeO: relaxed, PBE.

## Properties
The value obtained for the energy is -53.9 eV per cell. The excess energy over the best structure of this formula in the dataset is 0.000 eV/atom.

Cell and atoms, written as CIF:
```
data_Zn2TeO
_cell_length_a 5.7652
_cell_length_b 3.7536
_cell_length_c 13.7731
_cell_angle_alpha 90.00
_cell_angle_beta 90.00
_cell_angle_gamma 90.00
_space_group_name_H-M_alt 'P n m a'
_space_group_IT_number 62
loop_
_space_group_symop_operation_xyz
'x,y,z'
'-x,-y,-z'
'-x+1/2,-y,z+1/2'
'x+1/2,y,-z+1/2'
'x+1/2,-y+1/2,-z+1/2'
'-x+1/2,y+1/2,z+1/2'
'-x,y+1/2,-z'
'x,-y+1/2,z'
loop_
_atom_site_label
_atom_site_fract_x
_atom_site_fract_y
_atom_site_fract_z
Zn1 0.1132 0.2500 0.1902
Zn2 0.1937 0.7500 0.3802
Te1 0.2478 0.2500 0.5704
O1 0.2347 0.7500 0.8183
```

2.
TmAu2: relaxed, PBE.

## Properties
The value obtained for the energy is -54.7 eV per cell. The value obtained for the formation energy is -86 kJ/mol of atoms.

Cell and atoms, written as CIF:
```
data_TmAu2
_cell_length_a 5.2120
_cell_length_b 5.2193
_cell_length_c 8.9699
_cell_angle_alpha 90.00
_cell_angle_beta 90.00
_cell_angle_gamma 90.00
_space_group_name_H-M_alt 'F m m m'
_space_group_IT_number 69
_space_group_name_Hall '-F 2 2'
loop_
_atom_site_label
_atom_site_fract_x
_atom_site_fract_y
_atom_site_fract_z
Tm1 0.0000 0.0000 0.0000
Au1 0.0000 0.0000 0.3358
```

3.
Nb4SnPbC2: relaxed, PBE.

## Properties
The value obtained for the energy is -69.2 eV per cell.

Cell and atoms, written as CIF:
```
data_Nb4SnPbC2
_cell_length_a 3.2921
_cell_length_b 3.2921
_cell_length_c 14.0424
_cell_angle_alpha 90.00
_cell_angle_beta 90.00
_cell_angle_gamma 120.00
_space_group_name_H-M_alt 'P -6 m 2'
_space_group_IT_number 187
_space_group_name_Hall 'P -6 2'
loop_
_atom_site_label
_atom_site_fract_x
_atom_site_fract_y
_atom_site_fract_z
Nb1 0.0000 0.0000 0.1653
Nb2 0.6667 0.3333 0.3271
Sn1 0.6667 0.3333 0.0000
Pb1 0.0000 0.0000 0.5000
C1 0.3333 0.6667 0.2470
```